No. 1
CaSc2Cu: relaxed, GGA-PBE.

```
4
Lattice="3.3338 -0.0019 0.0000 0.0032 3.3338 0.0000 0.0000 0.0000 8.8299" Properties=species:S:1:pos:R:3 pbc="T T T"
Ca 1.6685 1.6660 2.2075
Cu 1.6685 1.6660 6.6224
Sc 0.0000 0.0000 8.1748
Sc 0.0000 0.0000 5.0701
```

Calculated values
The value obtained for the formation enthalpy at 0 K is -0.008 eV per atom.

---

No. 2
HoSn2Pb: relaxed, GGA-PBE.

```
4
Lattice="-0.5732 -4.5325 -0.6474 4.4735 -0.3031 -1.8387 1.7636 -0.8561 4.4319" Properties=species:S:1:pos:R:3 pbc="T T T"
Sn 0.8818 -0.4280 2.2159
Sn 2.2367 -0.1516 -0.9194
Ho 2.8319 -2.8459 0.9729
Pb -0.2866 -2.2663 -0.3237
```

Calculated values
The value obtained for the formation enthalpy at 0 K is -0.349 eV per atom.

---

No. 3
Er8Ag2Ir: relaxed, GGA-PBE.

```
11
Lattice="-5.1431 2.0769 -2.3180 -2.6912 -5.4005 6.3263 4.9632 7.1713 0.6069" Properties=species:S:1:pos:R:3 pbc="T T T"
Ag -3.0177 -0.8140 3.6419
Ag 0.3076 4.6475 1.1572
Er -3.6338 0.3515 1.0349
Er 1.0493 3.3238 3.7347
Er -1.5732 6.8064 -0.5403
Er -0.0299 0.7569 1.6238
Er -2.2794 2.8665 3.2501
Er -0.6979 0.4543 5.0401
Er -6.2771 -0.9193 2.9744
Er -1.8340 3.3075 -0.3100
Ir -1.4330 0.5938 -0.6126
```

Calculated values
The value obtained for the formation enthalpy at 0 K is -0.235 eV per atom.

---

No. 4
Li2PrY2Tl2: relaxed, GGA-PBE.

```
7
Lattice="-3.4065 2.1270 -2.7806 -0.7863 -1.5970 -4.5488 -7.6106 -5.6814 0.6875" Properties=species:S:1:pos:R:3 pbc="T T T"
Tl -9.0141 -4.0158 -4.9000
Tl -2.7894 -1.1356 -1.7418
Pr 0.0000 0.0000 0.0000
Li -7.6821 -4.2544 -2.4238
Li -4.1213 -0.8970 -4.2180
Y -6.5817 -1.7224 -6.1256
Y -5.2218 -3.4290 -0.5162
```

Calculated values
The value obtained for the formation enthalpy at 0 K is -0.204 eV per atom.

---

No. 5
Gd2GaBr: relaxed, GGA-PBE.

```
4
Lattice="3.4832 0.0000 0.0000 0.0000 3.4832 0.0000 0.0000 0.0000 8.1817" Properties=species:S:1:pos:R:3 pbc="T T T"
Gd 0.0000 0.0000 6.3211
Gd 0.0000 0.0000 1.8606
Ga 1.7416 1.7416 0.0000
Br 1.7416 1.7416 4.0909
```

Calculated values
The value obtained for the formation energy from raw total energies is -814 meV/atom.

---

No. 6
KMn2Fe: relaxed, GGA-PBE.

```
4
Lattice="-0.9623 0.6781 -5.1684 -4.1921 -1.9121 2.6206 -0.8700 2.5963 0.5026" Properties=species:S:1:pos:R:3 pbc="T T T"
Mn 0.0000 0.0000 0.0000
Mn -2.5772 -0.6170 -1.2739
K -2.5311 0.3421 1.5616
Fe -0.9161 1.6372 -2.3329
```

Calculated values
The value obtained for the formation enthalpy at 0 K is 1.233 eV per atom.

---

No. 7
NiGeH2Au: relaxed, GGA-PBE.

```
5
Lattice="-0.7029 -0.7522 3.2530 5.3782 -2.0995 0.6766 1.0873 3.0915 0.9498" Properties=species:S:1:pos:R:3 pbc="T T T"
H -0.3514 -0.3761 1.6265
H 0.5437 1.5458 0.4749
Ge 2.6891 -1.0497 0.3383
Au 0.0000 0.0000 0.0000
Ni 2.8813 0.1199 2.4397
```

---

No. 8
Tb6InSi2Se3: relaxed, GGA-PBE.

```
12
Lattice="-3.3607 -0.0315 2.4146 1.9735 -7.7750 2.6453 5.7606 5.9380 4.5489" Properties=species:S:1:pos:R:3 pbc="T T T"
Si 2.3988 -1.2861 6.8683
Si 1.9745 -0.5824 2.7406
Tb -0.0980 1.3207 3.4271
Tb 0.8417 -2.4066 4.6863
Tb 4.4714 -3.1892 6.1818
Tb 0.5242 -2.0626 0.7027
Tb 3.5317 0.5381 4.9226
Tb 3.8491 0.1941 8.9062
Se -0.6936 -3.9033 2.5300
Se 2.9911 -4.4572 4.1049
Se 1.3823 2.5887 5.5040
In -1.6804 -0.0158 1.2073
```

Calculated values
The value obtained for the formation energy from raw total energies is -1203 meV/atom.

---

No. 9
Ba2LaSnSe4: relaxed, GGA-PBE.

```
16
Lattice="-6.9343 -4.3818 -3.7475 5.7171 -4.4746 -5.3500 1.1228 -0.2265 8.8778" Properties=species:S:1:pos:R:3 pbc="T T T"
Ba -0.6086 -4.4282 -4.5487
Ba 0.5614 -0.1132 4.4389
Ba -3.4672 -2.1909 -1.8738
Ba -2.9058 -2.3041 2.5651
Se 3.7785 -4.5209 3.9190
Se -0.1579 -2.2183 -2.1507
Se 3.0172 -4.4061 -0.4945
Se -3.1117 -4.6767 0.2748
Se -0.4625 -6.7578 -2.2280
Se 0.3681 -2.3250 2.0082
Se 0.0635 -6.8645 1.9310
Se -3.8731 -4.5620 -4.1388
La 2.8585 -2.2373 -2.6750
La -3.5144 -6.7323 -1.9837
Sn -0.0472 -4.5414 -0.1098
Sn -5.8115 -4.6082 5.1302
```

Calculated values
The value obtained for the formation energy from raw total energies is -1579 meV/atom.

---

No. 10
LuMgPa: relaxed, GGA-PBE.

```
3
Lattice="3.1818 0.0000 0.0000 0.0000 3.1818 0.0000 -1.5909 -1.5909 7.5840" Properties=species:S:1:pos:R:3 pbc="T T T"
Pa 1.5909 1.5909 2.5147
Mg 0.0000 0.0000 5.0574
Lu 0.0000 0.0000 0.0119
```

Calculated values
The value obtained for the formation enthalpy at 0 K is 0.145 eV per atom.

---

No. 11
Li2YPb2: relaxed, GGA-PBE.

```
5
Lattice="-1.7483 0.3006 4.3236 1.7907 -4.0271 -1.5217 5.1960 4.2953 1.8025" Properties=species:S:1:pos:R:3 pbc="T T T"
Pb 4.8780 0.5351 0.6724
Pb 0.3604 0.0336 3.9320
Li 1.9249 1.4644 1.9394
Li 3.3135 -0.8957 2.6650
Y 0.0212 -1.8633 1.4010
```

Calculated values
The value obtained for the formation enthalpy at 0 K is -0.371 eV per atom.

---

No. 12
Sr2LaHoSe4: relaxed, GGA-PBE.

```
8
Lattice="-1.2591 3.7916 -1.5095 -5.8112 -0.1003 4.5954 5.8164 3.3103 3.4634" Properties=species:S:1:pos:R:3 pbc="T T T"
La -3.5352 1.8457 1.5430
Se -0.6378 2.6439 1.1313
Se -0.6161 4.3577 5.4180
Se 3.0095 2.4917 3.7484
Se -3.0044 0.7183 4.3104
Ho 0.0000 0.0000 0.0000
Sr 2.2787 3.5510 0.9770
Sr 0.0026 1.6050 4.0294
```

Calculated values
The value obtained for the formation energy from raw total energies is -1919 meV/atom.

---

No. 13
SmTmHgAu: relaxed, GGA-PBE.

```
4
Lattice="5.1986 0.0000 0.0000 2.5993 4.5021 0.0000 2.5993 1.5007 4.2446" Properties=species:S:1:pos:R:3 pbc="T T T"
Hg 0.0000 0.0000 0.0000
Au 5.1986 3.0014 2.1223
Sm 2.5993 1.5007 1.0612
Tm 7.7979 4.5021 3.1835
```

Calculated values
The value obtained for the formation enthalpy at 0 K is -0.639 eV per atom.

---

Final energy values, unit eV per atom, following the record order: -4.70, -4.42, -4.88, -3.96, -9.03, -5.74, -3.74, -5.52, -4.92, -5.06, -3.91, -5.27, -3.83.